Record 1
! K2Er2NpSe6, optimized geometry, DFT PBE-GGA; values from VASP
! **Size of the total moment**: 3.00 Bohr magnetons per cell
! **Total energy**: -62.46 eV/cell
&SYSTEM
  ibrav = 0, nat = 11, ntyp = 4
/
ATOMIC_SPECIES
K 39.10 K.upf
Se 78.96 Se.upf
Er 167.26 Er.upf
Np 237.00 Np.upf
ATOMIC_POSITIONS crystal
K 0.168 0.832 0.000
K 0.832 0.168 0.000
Se 0.602 0.933 0.300
Se 0.398 0.067 0.700
Se 0.736 0.736 0.699
Se 0.264 0.264 0.301
Se 0.067 0.398 0.700
Se 0.933 0.602 0.300
Er 0.667 0.333 0.500
Er 0.333 0.667 0.500
Np 0.000 0.000 0.500
CELL_PARAMETERS angstrom
-0.984 -5.594 4.379
-2.054 -0.411 -6.859
8.106 -0.751 -1.118



Record 2
! La3Lu5Se12, optimized geometry, DFT PBE-GGA; values from VASP
! **Size of the total moment**: 0.00 Bohr magnetons per cell
! **Total energy**: -460.30 eV/cell
&SYSTEM
  ibrav = 0, nat = 80, ntyp = 3
/
ATOMIC_SPECIES
Lu 174.97 Lu.upf
Se 78.96 Se.upf
La 138.91 La.upf
ATOMIC_POSITIONS crystal
Lu 0.000 0.500 0.000
Lu 0.500 0.500 0.500
Lu 0.000 0.000 0.500
Lu 0.375 0.250 0.125
Lu 0.500 0.500 0.000
Lu 0.250 0.875 0.125
Lu 0.500 0.000 0.500
Lu 0.625 0.750 0.875
Lu 0.500 0.000 0.000
Lu 0.750 0.625 0.375
Lu 0.250 0.375 0.625
Lu 0.125 0.750 0.375
Lu 0.125 0.375 0.250
Lu 0.000 0.000 0.000
Lu 0.875 0.250 0.625
Lu 0.750 0.125 0.875
Lu 0.375 0.125 0.750
Lu 0.625 0.875 0.250
Lu 0.875 0.625 0.750
Lu 0.000 0.500 0.500
Se 0.586 0.959 0.675
Se 0.414 0.041 0.325
Se 0.914 0.089 0.873
Se 0.175 0.086 0.959
Se 0.627 0.586 0.911
Se 0.325 0.784 0.411
Se 0.873 0.589 0.914
Se 0.086 0.175 0.459
Se 0.959 0.373 0.284
Se 0.911 0.825 0.784
Se 0.216 0.541 0.627
Se 0.911 0.086 0.627
Se 0.675 0.459 0.586
Se 0.414 0.373 0.589
Se 0.041 0.627 0.716
Se 0.459 0.784 0.873
Se 0.373 0.959 0.784
Se 0.127 0.411 0.086
Se 0.089 0.175 0.216
Se 0.586 0.627 0.411
Se 0.959 0.586 0.175
Se 0.784 0.459 0.373
Se 0.716 0.127 0.041
Se 0.675 0.216 0.589
Se 0.373 0.414 0.089
Se 0.627 0.041 0.216
Se 0.784 0.325 0.911
Se 0.284 0.411 0.825
Se 0.914 0.825 0.541
Se 0.127 0.716 0.541
Se 0.041 0.414 0.825
Se 0.825 0.911 0.284
Se 0.459 0.675 0.086
Se 0.089 0.914 0.373
Se 0.541 0.216 0.127
Se 0.284 0.873 0.959
Se 0.541 0.325 0.914
Se 0.216 0.675 0.089
Se 0.589 0.716 0.675
Se 0.825 0.914 0.041
Se 0.589 0.873 0.414
Se 0.411 0.284 0.325
Se 0.411 0.127 0.586
Se 0.873 0.284 0.459
Se 0.086 0.911 0.127
Se 0.325 0.541 0.414
Se 0.175 0.089 0.716
Se 0.716 0.589 0.175
La 0.750 0.375 0.125
La 0.875 0.750 0.125
La 0.250 0.125 0.375
La 0.375 0.750 0.625
La 0.875 0.125 0.250
La 0.750 0.875 0.625
La 0.125 0.250 0.875
La 0.250 0.625 0.875
La 0.625 0.375 0.750
La 0.625 0.250 0.375
La 0.125 0.875 0.750
La 0.375 0.625 0.250
CELL_PARAMETERS angstrom
14.650 0.000 0.000
-4.883 13.812 0.000
-4.883 -6.906 11.962



Record 3
! CaZrBi, optimized geometry, DFT PBE-GGA; values from VASP
! **Energy above the most stable polymorph in this dataset**: 0.65 eV/f.u.
! **Size of the total moment**: 0.74 Bohr magnetons per cell
! **Energy of formation from the pure elements**: -364 meV/atom
! **Total energy**: -31.05 eV/cell
&SYSTEM
  ibrav = 0, nat = 6, ntyp = 3
/
ATOMIC_SPECIES
Bi 208.98 Bi.upf
Zr 91.22 Zr.upf
Ca 40.08 Ca.upf
ATOMIC_POSITIONS crystal
Bi 0.000 0.000 0.748
Bi 0.000 0.000 0.125
Zr 0.000 0.000 0.469
Zr 0.500 0.500 0.603
Ca 0.500 0.500 0.942
Ca 0.500 0.500 0.281
CELL_PARAMETERS angstrom
3.938 0.000 0.000
0.000 3.938 0.000
0.000 0.000 10.939



Record 4
! BaLaHg3, optimized geometry, DFT PBE-GGA; values from VASP
! **Energy above the most stable polymorph in this dataset**: 3.95 eV/f.u.
! **Size of the total moment**: 0.00 Bohr magnetons per cell
! **Energy of formation from the pure elements**: 313 meV/atom
! **Total energy**: -6.19 eV/cell
&SYSTEM
  ibrav = 0, nat = 5, ntyp = 3
/
ATOMIC_SPECIES
La 138.91 La.upf
Hg 200.59 Hg.upf
Ba 137.33 Ba.upf
ATOMIC_POSITIONS crystal
La 0.500 0.500 0.500
Hg 0.500 0.000 0.000
Hg 0.000 0.500 0.000
Hg 0.000 0.000 0.500
Ba 0.000 0.000 0.000
CELL_PARAMETERS angstrom
-2.628 2.568 -4.775
-5.369 -1.972 1.895
-0.755 5.082 3.148